Entry from Alexandria: a relaxed Mg4Zr2Sc crystal (GGA-PBE).

Results
formation enthalpy at 0 K = 49 meV/atom
DOS at the Fermi energy = 7.3 states/eV/f.u.
magnetization = 0.00 Bohr magnetons per cell

Cell lengths 3.078, 36.597, 3.071 Å; angles 90.00, 111.31, 90.00 degrees
Space group C2/m (No. 12)
Unique sites:
1 Mg 0.000 0.071 0.000
2 Mg 0.000 0.358 0.500
3 Zr 0.000 0.214 0.000
4 Sc 0.000 0.500 0.500